(1)
VASP calculation (PBE) on TiMoRhW after structural relaxation.

Geometry as extended XYZ:
```
4
Lattice="4.439 0.000 0.000 2.220 3.845 0.000 2.220 1.282 3.625" Properties=species:S:1:pos:R:3 pbc="T T T"
Mo 4.439 2.563 1.812
Rh 0.000 0.000 0.000
W 2.220 1.282 0.906
Ti 6.659 3.845 2.718
```

Space-group type: F-43m
Total magnetization in μB/cell: 0.000
Calculated formation energy in kJ per mole of atoms: -22.1

***

(2)
VASP calculation (PBE) on Tl2MoRh after structural relaxation.

Geometry as extended XYZ:
```
4
Lattice="5.364 0.000 0.000 2.188 4.898 0.000 -3.776 -2.449 2.918" Properties=species:S:1:pos:R:3 pbc="T T T"
Mo 3.776 2.449 0.000
Rh 2.682 0.000 1.459
Tl 0.000 0.000 0.000
Tl 1.094 2.449 1.459
```

Energy relative to the lowest polymorph listed for this composition in eV/atom: 0.371
Space-group type: I-4m2
Total magnetization in μB/cell: 1.014
Calculated formation energy in kJ per mole of atoms: 64.0

***

Among the records above, which one has the lowest total magnetization? TiMoRhW

***

What is the formula in the second record? Tl2MoRh

***

total magnetization of number 2 (Tl2MoRh)? 1.014 μB/cell